Below is a relaxed SrMg crystal, with properties calculated at the PBE level.

The raw total energy comes out at -9.86 eV for the cell shown. The value obtained for the total moment is 0.00 μB per formula unit. As for the calculated formation energy: -0.005 eV/atom.

a = 7.178 Å, b = 7.178 Å, c = 13.815 Å
α = 142.30°, β = 142.30°, γ = 33.97°
Fractional coordinates of all 6 atoms:
Sr: 0.120 0.120 0.774
Mg: 0.844 0.844 0.161
Mg: 0.483 0.483 0.438
Sr: 0.654 0.654 0.294
Mg: 0.249 0.249 0.574
Sr: 0.983 0.983 0.926

Below is a relaxed Sr4Mg3 crystal, with properties calculated at the PBE level.

The raw total energy comes out at -11.65 eV for the cell shown. The value obtained for the total moment is 0.00 μB per formula unit. As for the calculated formation energy: -0.021 eV/atom.

a = 16.815 Å, b = 16.815 Å, c = 16.815 Å
α = 165.99°, β = 165.99°, γ = 19.86°
Fractional coordinates of all 7 atoms:
Sr: 0.564 0.564 0.000
Mg: 0.000 0.000 0.000
Sr: 0.436 0.436 0.000
Sr: 0.839 0.839 0.000
Sr: 0.161 0.161 0.000
Mg: 0.728 0.728 0.000
Mg: 0.272 0.272 0.000

Below is a relaxed SrMg crystal, with properties calculated at the PBE level.

The raw total energy comes out at -8.97 eV for the cell shown. The value obtained for the total moment is 0.00 μB per formula unit. As for the calculated formation energy: 0.144 eV/atom.

a = 4.143 Å, b = 4.143 Å, c = 16.369 Å
α = 90.00°, β = 90.00°, γ = 120.00°
Fractional coordinates of all 6 atoms:
Sr: 0.667 0.333 0.719
Mg: 0.667 0.333 0.000
Mg: 0.000 0.000 0.882
Sr: 0.000 0.000 0.500
Mg: 0.000 0.000 0.118
Sr: 0.667 0.333 0.281

Below is a relaxed Sr4Mg crystal, with properties calculated at the PBE level.

The raw total energy comes out at -7.18 eV for the cell shown. The value obtained for the total moment is 0.00 μB per formula unit. As for the calculated formation energy: 0.228 eV/atom.

a = 7.055 Å, b = 7.055 Å, c = 7.055 Å
α = 109.47°, β = 109.47°, γ = 109.47°
Fractional coordinates of all 5 atoms:
Sr: 0.000 0.500 0.000
Sr: 0.500 0.500 0.500
Mg: 0.000 0.000 0.000
Sr: 0.000 0.000 0.500
Sr: 0.500 0.000 0.000

Below is a relaxed SrMg crystal, with properties calculated at the PBE level.

The raw total energy comes out at -9.77 eV for the cell shown. The value obtained for the total moment is 0.00 μB per formula unit. As for the calculated formation energy: 0.009 eV/atom.

a = 7.220 Å, b = 7.220 Å, c = 5.778 Å
α = 90.00°, β = 90.00°, γ = 132.78°
Fractional coordinates of all 6 atoms:
Mg: 0.312 0.688 0.000
Sr: 0.647 0.353 0.000
Mg: 0.445 0.555 0.500
Mg: 0.820 0.180 0.500
Sr: 0.158 0.842 0.500
Sr: 0.951 0.049 0.000

Below is a relaxed SrMg crystal, with properties calculated at the PBE level.

The raw total energy comes out at -17.75 eV for the cell shown. The value obtained for the total moment is 0.45 μB per formula unit. As for the calculated formation energy: 0.529 eV/atom.

a = 10.289 Å, b = 10.289 Å, c = 10.289 Å
α = 90.00°, β = 90.00°, γ = 90.00°
Fractional coordinates of all 16 atoms:
Sr: 0.706 0.706 0.294
Mg: 0.895 0.895 0.105
Mg: 0.105 0.105 0.105
Sr: 0.794 0.206 0.206
Sr: 0.294 0.706 0.706
Mg: 0.605 0.395 0.395
Mg: 0.395 0.395 0.605
Mg: 0.105 0.895 0.895
Mg: 0.605 0.605 0.605
Mg: 0.395 0.605 0.395
Sr: 0.706 0.294 0.706
Sr: 0.206 0.206 0.794
Sr: 0.294 0.294 0.294
Sr: 0.206 0.794 0.206
Mg: 0.895 0.105 0.895
Sr: 0.794 0.794 0.794

Below is a relaxed Sr3Mg crystal, with properties calculated at the PBE level.

The raw total energy comes out at -12.95 eV for the cell shown. The value obtained for the total moment is 0.00 μB per formula unit. As for the calculated formation energy: 0.041 eV/atom.

a = 5.685 Å, b = 5.685 Å, c = 11.883 Å
α = 76.16°, β = 76.16°, γ = 90.00°
Fractional coordinates of all 8 atoms:
Sr: 0.876 0.876 0.247
Sr: 0.500 0.000 0.000
Mg: 0.629 0.629 0.742
Sr: 0.000 0.500 0.000
Sr: 0.250 0.750 0.500
Sr: 0.124 0.124 0.753
Sr: 0.750 0.250 0.500
Mg: 0.371 0.371 0.258

Below is a relaxed SrMg crystal, with properties calculated at the PBE level.

The raw total energy comes out at -3.05 eV for the cell shown. The value obtained for the total moment is 0.00 μB per formula unit. As for the calculated formation energy: 0.113 eV/atom.

a = 4.054 Å, b = 4.054 Å, c = 5.575 Å
α = 90.00°, β = 90.00°, γ = 120.00°
Fractional coordinates of all 2 atoms:
Mg: 0.667 0.333 0.500
Sr: 0.000 0.000 0.000

Below is a relaxed Sr3Mg crystal, with properties calculated at the PBE level.

The raw total energy comes out at -6.39 eV for the cell shown. The value obtained for the total moment is 0.00 μB per formula unit. As for the calculated formation energy: 0.062 eV/atom.

a = 12.691 Å, b = 12.691 Å, c = 12.691 Å
α = 19.07°, β = 19.07°, γ = 19.07°
Fractional coordinates of all 4 atoms:
Sr: 0.488 0.488 0.488
Mg: 0.750 0.750 0.750
Sr: 0.250 0.250 0.250
Sr: 0.012 0.012 0.012

Below is a relaxed SrMg5 crystal, with properties calculated at the PBE level.

The raw total energy comes out at -9.91 eV for the cell shown. The value obtained for the total moment is 0.00 μB per formula unit. As for the calculated formation energy: -0.042 eV/atom.

a = 6.179 Å, b = 6.179 Å, c = 5.081 Å
α = 90.00°, β = 90.00°, γ = 120.00°
Fractional coordinates of all 6 atoms:
Sr: 0.333 0.000 0.500
Mg: 0.833 0.000 0.000
Mg: 0.667 0.667 0.500
Mg: 0.333 0.500 0.000
Mg: 0.000 0.333 0.500
Mg: 0.833 0.500 0.000

Below is a relaxed Sr3Mg crystal, with properties calculated at the PBE level.

The raw total energy comes out at -6.73 eV for the cell shown. The value obtained for the total moment is 0.00 μB per formula unit. As for the calculated formation energy: -0.024 eV/atom.

a = 4.190 Å, b = 4.190 Å, c = 10.441 Å
α = 90.00°, β = 90.00°, γ = 90.00°
Fractional coordinates of all 4 atoms:
Sr: 0.500 0.500 0.199
Sr: 0.000 0.000 0.500
Sr: 0.500 0.500 0.801
Mg: 0.000 0.000 0.000

Below is a relaxed Sr3Mg crystal, with properties calculated at the PBE level.

The raw total energy comes out at -39.71 eV for the cell shown. The value obtained for the total moment is 0.00 μB per formula unit. As for the calculated formation energy: 0.005 eV/atom.

a = 10.708 Å, b = 10.708 Å, c = 11.194 Å
α = 90.00°, β = 90.00°, γ = 120.00°
Fractional coordinates of all 24 atoms:
Mg: 0.000 0.676 0.569
Sr: 0.000 0.736 0.240
Sr: 0.736 0.000 0.240
Sr: 0.000 0.388 0.399
Sr: 0.736 0.736 0.740
Sr: 0.333 0.667 0.134
Sr: 0.333 0.667 0.634
Sr: 0.612 0.612 0.399
Mg: 0.324 0.324 0.569
Mg: 0.676 0.000 0.569
Sr: 0.264 0.000 0.740
Sr: 0.667 0.333 0.134
Sr: 0.667 0.333 0.634
Mg: 0.676 0.676 0.069
Sr: 0.000 0.000 0.491
Sr: 0.000 0.264 0.740
Sr: 0.388 0.000 0.399
Sr: 0.000 0.000 0.991
Sr: 0.000 0.612 0.899
Sr: 0.612 0.000 0.899
Mg: 0.324 0.000 0.069
Sr: 0.264 0.264 0.240
Sr: 0.388 0.388 0.899
Mg: 0.000 0.324 0.069